Entry 1:
# Ba12Pt5Br3 (PBE, relaxed)
data_Ba12Pt5Br3
_chemical_formula_sum 'Ba96 Pt40 Br24'
_cell_length_a 19.604
_cell_length_b 19.604
_cell_length_c 19.604
_cell_angle_alpha 90.00
_cell_angle_beta 90.00
_cell_angle_gamma 90.00
_symmetry_space_group_name_H-M 'I a -3 d'
_symmetry_Int_Tables_number 230
_symmetry_space_group_name_Hall '-I 4bd 2c 3'
loop_
_atom_site_label
_atom_site_type_symbol
_atom_site_fract_x
_atom_site_fract_y
_atom_site_fract_z
Ba1 Ba 0.032 0.059 0.646
Pt1 Pt 0.000 0.000 0.000
Pt2 Pt 0.000 0.250 0.375
Br1 Br 0.000 0.250 0.125
# - Formation energy (no corrections): -0.709 eV/atom
# - Electronic total energy: -3.624 eV per atom

***

Entry 2:
# AlAs2Br (PBE, relaxed)
data_AlAs2Br
_chemical_formula_sum 'Al1 As2 Br1'
_cell_length_a 3.368
_cell_length_b 3.368
_cell_length_c 8.706
_cell_angle_alpha 90.00
_cell_angle_beta 90.00
_cell_angle_gamma 90.00
_symmetry_space_group_name_H-M 'P 4 m m'
_symmetry_Int_Tables_number 99
loop_
_symmetry_equiv_pos_as_xyz
'x,y,z'
'-y,x,z'
'-x,-y,z'
'y,-x,z'
'-x,y,z'
'y,x,z'
'x,-y,z'
'-y,-x,z'
loop_
_atom_site_label
_atom_site_type_symbol
_atom_site_fract_x
_atom_site_fract_y
_atom_site_fract_z
Al1 Al 0.000 0.000 0.000
As1 As 0.000 0.000 0.417
As2 As 0.500 0.500 0.280
Br1 Br 0.500 0.500 0.817
# - Formation energy (no corrections): 0.108 eV/atom
# - Electronic total energy: -3.571 eV per atom
# - Energy relative to the lowest polymorph listed for this composition: 331.3 meV/atom

***

Entry 3:
# TiV2Ga (PBE, relaxed)
data_TiV2Ga
_chemical_formula_sum 'Ti2 V4 Ga2'
_cell_length_a 3.160
_cell_length_b 4.057
_cell_length_c 9.445
_cell_angle_alpha 90.00
_cell_angle_beta 99.67
_cell_angle_gamma 90.00
_symmetry_space_group_name_H-M 'P 1 21/m 1'
_symmetry_Int_Tables_number 11
loop_
_symmetry_equiv_pos_as_xyz
'x,y,z'
'-x,-y,-z'
'-x,y+1/2,-z'
'x,-y+1/2,z'
loop_
_atom_site_label
_atom_site_type_symbol
_atom_site_fract_x
_atom_site_fract_y
_atom_site_fract_z
Ti1 Ti 0.195 0.250 0.388
V1 V 0.050 0.750 0.099
V2 V 0.437 0.750 0.875
Ga1 Ga 0.338 0.250 0.678
# - Electronic total energy: -7.511 eV per atom

***

Entry 4:
# Sc2Sb2I (PBE, relaxed)
data_Sc2Sb2I
_chemical_formula_sum 'Sc4 Sb4 I2'
_cell_length_a 5.381
_cell_length_b 5.381
_cell_length_c 10.231
_cell_angle_alpha 90.00
_cell_angle_beta 90.00
_cell_angle_gamma 90.00
_symmetry_space_group_name_H-M 'I 4/m m m'
_symmetry_Int_Tables_number 139
_symmetry_space_group_name_Hall '-I 4 2'
loop_
_atom_site_label
_atom_site_type_symbol
_atom_site_fract_x
_atom_site_fract_y
_atom_site_fract_z
Sc1 Sc 0.000 0.500 0.250
Sb1 Sb 0.000 0.000 0.141
I1 I 0.000 0.000 0.500
# - Formation energy (no corrections): -0.592 eV/atom
# - Electronic total energy: -5.083 eV per atom
# - Energy relative to the lowest polymorph listed for this composition: 108.0 meV/atom

***

Entry 5:
# BeTlCd2 (PBE, relaxed)
data_BeTlCd2
_chemical_formula_sum 'Be4 Tl4 Cd8'
_cell_length_a 8.378
_cell_length_b 8.378
_cell_length_c 5.214
_cell_angle_alpha 90.00
_cell_angle_beta 90.00
_cell_angle_gamma 90.00
_symmetry_space_group_name_H-M 'I -4 2 d'
_symmetry_Int_Tables_number 122
_symmetry_space_group_name_Hall 'I -4 2bw'
loop_
_atom_site_label
_atom_site_type_symbol
_atom_site_fract_x
_atom_site_fract_y
_atom_site_fract_z
Be1 Be 0.000 0.000 0.000
Tl1 Tl 0.000 0.000 0.500
Cd1 Cd 0.161 0.250 0.125
# - Electronic total energy: -1.593 eV per atom
# - Energy relative to the lowest polymorph listed for this composition: 98.8 meV/atom

***

Entry 6:
# EuErAlPb (PBE, relaxed)
data_EuErAlPb
_chemical_formula_sum 'Eu4 Er4 Al4 Pb4'
_cell_length_a 7.586
_cell_length_b 7.586
_cell_length_c 7.586
_cell_angle_alpha 90.00
_cell_angle_beta 90.00
_cell_angle_gamma 90.00
_symmetry_space_group_name_H-M 'F -4 3 m'
_symmetry_Int_Tables_number 216
_symmetry_space_group_name_Hall 'F -4 2 3'
loop_
_atom_site_label
_atom_site_type_symbol
_atom_site_fract_x
_atom_site_fract_y
_atom_site_fract_z
Eu1 Eu 0.000 0.000 0.000
Er1 Er 0.000 0.000 0.500
Al1 Al 0.250 0.250 0.250
Pb1 Pb 0.250 0.250 0.750
# - Electronic total energy: -5.887 eV per atom

***

Entry 7:
# YAlSbTe2 (PBE, relaxed)
data_YAlSbTe2
_chemical_formula_sum 'Y1 Al1 Sb1 Te2'
_cell_length_a 5.854
_cell_length_b 5.854
_cell_length_c 5.836
_cell_angle_alpha 90.00
_cell_angle_beta 90.00
_cell_angle_gamma 90.00
_symmetry_space_group_name_H-M 'P 4/m m m'
_symmetry_Int_Tables_number 123
_symmetry_space_group_name_Hall '-P 4 2'
loop_
_atom_site_label
_atom_site_type_symbol
_atom_site_fract_x
_atom_site_fract_y
_atom_site_fract_z
Y1 Y 0.000 0.000 0.000
Al1 Al 0.500 0.500 0.500
Sb1 Sb 0.000 0.000 0.500
Te1 Te 0.000 0.500 0.000
# - Formation energy (no corrections): 0.110 eV/atom
# - Electronic total energy: -4.013 eV per atom
# - Energy relative to the lowest polymorph listed for this composition: 225.5 meV/atom

***

The lowest electronic total energy belongs to which entry?
TiV2Ga